[1]
Below is a geometry-optimized Li2AgOs structure, with properties calculated at the PBE-GGA level.

Cell lengths 4.421, 4.421, 4.421 Å; angles 60.00, 60.00, 60.00 degrees
Positions (direct):
Os 0.750 0.750 0.750
Li 0.250 0.250 0.250
Li 0.000 0.000 0.000
Ag 0.500 0.500 0.500

**D(E_F)**: 4.3 states/eV/f.u.
**Energy of formation from the pure elements**: 0.593 eV/atom
**ρ**: 8.5 g cm⁻³

---

[2]
Below is a geometry-optimized Li6HgAu structure, with properties calculated at the PBE-GGA level.

Cell lengths 4.696, 4.696, 7.551 Å; angles 77.16, 77.16, 73.97 degrees
Positions (direct):
Li 0.949 0.458 0.686
Li 0.374 0.374 0.911
Li 0.542 0.051 0.314
Li 0.626 0.626 0.089
Li 0.458 0.949 0.686
Li 0.051 0.542 0.314
Au 0.500 0.500 0.500
Hg 0.000 0.000 0.000

**D(E_F)**: 3.2 states/eV/f.u.
**Energy of formation from the pure elements**: -0.226 eV/atom
**ρ**: 4.7 g cm⁻³

---

[3]
Below is a geometry-optimized La2TbNd12 structure, with properties calculated at the PBE-GGA level.

Cell lengths 6.641, 6.641, 25.588 Å; angles 90.00, 90.00, 90.00 degrees
Positions (direct):
Nd 0.332 0.832 0.438
Nd 0.312 0.188 0.112
Nd 0.500 0.500 0.786
Nd 0.188 0.688 0.112
Nd 0.332 0.168 0.562
Nd 0.000 0.000 0.662
Nd 0.812 0.688 0.888
Nd 0.500 0.500 0.214
Nd 0.668 0.832 0.562
Nd 0.168 0.668 0.562
Nd 0.500 0.500 0.662
Nd 0.668 0.168 0.438
Nd 0.812 0.312 0.112
Nd 0.000 0.000 0.338
Nd 0.832 0.668 0.438
Nd 0.312 0.812 0.888
Nd 0.000 0.000 0.786
Nd 0.000 0.000 0.214
Nd 0.688 0.188 0.888
Nd 0.688 0.812 0.112
Nd 0.832 0.332 0.562
Nd 0.168 0.332 0.438
Nd 0.500 0.500 0.338
Nd 0.188 0.312 0.888
La 0.000 0.500 0.264
La 0.500 0.000 0.736
La 0.500 0.000 0.264
La 0.000 0.500 0.736
Tb 0.000 0.500 0.000
Tb 0.500 0.000 0.000

**D(E_F)**: 21.3 states/eV/f.u.
**Energy of formation from the pure elements**: 0.296 eV/atom
**ρ**: 6.4 g cm⁻³

---

[4]
Below is a geometry-optimized Pm4Pr3Sc2 structure, with properties calculated at the PBE-GGA level.

Cell lengths 3.585, 3.585, 26.680 Å; angles 90.00, 90.00, 120.00 degrees
Positions (direct):
Pm 0.667 0.333 0.433
Pm 0.000 0.000 0.544
Pm 0.000 0.000 0.776
Pm 0.667 0.333 0.205
Pr 0.000 0.000 0.316
Pr 0.667 0.333 0.660
Pr 0.000 0.000 0.983
Sc 0.667 0.333 0.877
Sc 0.667 0.333 0.084

**D(E_F)**: 16.4 states/eV/f.u.
**Energy of formation from the pure elements**: 0.110 eV/atom
**ρ**: 6.1 g cm⁻³

---

[5]
Below is a geometry-optimized Ir4PtRh3 structure, with properties calculated at the PBE-GGA level.

Cell lengths 2.714, 4.208, 10.958 Å; angles 94.70, 97.11, 90.00 degrees
Positions (direct):
Ir 0.279 0.264 0.558
Ir 0.721 0.736 0.442
Ir 0.602 0.689 0.205
Ir 0.398 0.311 0.795
Rh 0.845 0.788 0.690
Rh 0.155 0.212 0.310
Rh 0.000 0.500 0.000
Pt 0.500 0.000 0.000

**D(E_F)**: 10.8 states/eV/f.u.
**Energy of formation from the pure elements**: 0.307 eV/atom
**ρ**: 17.1 g cm⁻³

---

[6]
Below is a geometry-optimized PaAs2H structure, with properties calculated at the PBE-GGA level.

Cell lengths 4.297, 4.297, 6.861 Å; angles 71.75, 71.75, 60.00 degrees
Positions (direct):
Pa 0.500 0.500 0.500
As 0.093 0.093 0.722
As 0.907 0.907 0.278
H 0.000 0.000 0.000

**Energy**: -23.16 eV per cell
**ρ**: 6.2 g cm⁻³